This record from Alexandria via LeMat-Bulk describes a geometry-optimized CdBiSb structure. The functional is PBE.

The structure in extended XYZ format:
```
6
Lattice="5.021 0.000 0.000 0.036 6.071 0.000 2.408 0.007 6.155" Properties=species:S:1:pos:R:3 pbc="T T T"
Cd 5.037 1.520 0.019
Cd 2.428 4.558 6.136
Bi 2.110 3.046 1.824
Bi 5.356 3.032 4.331
Sb 3.045 0.011 1.800
Sb 4.420 6.067 4.355
```

## Properties
E	-2.9124	eV per atom
formation energy from raw total energies	0.2	eV/f.u.
DOS at the Fermi energy	0.24	states/eV/atom
offset from the most stable computed form	12	meV per atom
V	94	Å³/f.u.
spin magnetization	0.00	μB per cell

This record from Alexandria via LeMat-Bulk describes a geometry-optimized BaLiPb4 structure. The functional is PBE.

The structure in extended XYZ format:
```
12
Lattice="2.513 -9.601 0.000 2.513 9.601 0.000 0.000 0.000 7.643" Properties=species:S:1:pos:R:3 pbc="T T T"
Ba 2.513 7.347 5.732
Ba 2.513 -7.347 1.911
Li 2.513 5.339 1.911
Li 2.513 -5.339 5.732
Pb 2.513 8.198 1.911
Pb 2.513 3.556 4.193
Pb 2.513 3.556 7.272
Pb 2.513 0.000 0.000
Pb 2.513 0.000 3.822
Pb 2.513 -3.556 0.371
Pb 2.513 -3.556 3.450
Pb 2.513 -8.198 5.732
```

## Properties
E	-3.4367	eV per atom
DOS at the Fermi energy	0.37	states/eV/atom
offset from the most stable computed form	0	meV per atom
V	184	Å³/f.u.
spin magnetization	0.00	μB per cell
calculated formation energy	-0.325	eV per atom

This record from Alexandria via LeMat-Bulk describes a geometry-optimized LiHgAu14 structure. The functional is PBE.

The structure in extended XYZ format:
```
16
Lattice="6.033 0.000 0.000 0.000 6.033 0.000 0.000 0.000 7.948" Properties=species:S:1:pos:R:3 pbc="T T T"
Li 0.000 0.000 0.000
Hg 3.016 3.016 0.000
Au 0.000 0.000 3.974
Au 0.000 3.016 0.000
Au 0.000 3.016 3.974
Au 1.478 1.478 1.975
Au 1.478 1.478 5.973
Au 1.478 4.555 1.975
Au 1.478 4.555 5.973
Au 3.016 0.000 0.000
Au 3.016 0.000 3.974
Au 3.016 3.016 3.974
Au 4.555 1.478 1.975
Au 4.555 1.478 5.973
Au 4.555 4.555 1.975
Au 4.555 4.555 5.973
```

## Properties
E	-3.0724	eV per atom
DOS at the Fermi energy	0.27	states/eV/atom
V	289	Å³/f.u.
spin magnetization	0.00	μB per cell
calculated formation energy	-0.066	eV per atom

This record from Alexandria via LeMat-Bulk describes a geometry-optimized Mg2As3Rh5 structure. The functional is PBE.

The structure in extended XYZ format:
```
20
Lattice="2.026 -12.612 0.000 2.026 12.612 0.000 0.000 0.000 6.136" Properties=species:S:1:pos:R:3 pbc="T T T"
Mg 2.026 12.275 3.068
Mg 2.026 4.204 2.688
Mg 2.026 -4.204 5.756
Mg 2.026 -12.275 0.000
As 2.026 9.918 4.383
As 2.026 5.497 5.404
As 2.026 1.130 4.396
As 2.026 -1.130 1.328
As 2.026 -5.497 2.336
As 2.026 -9.918 1.315
Rh 2.026 10.164 0.761
Rh 2.026 7.521 3.894
Rh 2.026 7.182 0.968
Rh 2.026 3.135 5.883
Rh 2.026 1.325 1.976
Rh 2.026 -1.325 5.044
Rh 2.026 -3.135 2.815
Rh 2.026 -7.182 4.036
Rh 2.026 -7.521 0.826
Rh 2.026 -10.164 3.829
```

## Properties
E	-5.8884	eV per atom
DOS at the Fermi energy	0.40	states/eV/atom
V	157	Å³/f.u.
spin magnetization	0.00	μB per cell
calculated formation energy	-0.499	eV per atom

This record from Alexandria via LeMat-Bulk describes a geometry-optimized PmSmRh2 structure. The functional is PBE.

The structure in extended XYZ format:
```
4
Lattice="2.025 1.169 6.668 -2.025 1.169 6.668 0.000 -2.338 6.668" Properties=species:S:1:pos:R:3 pbc="T T T"
Pm 0.000 0.000 0.000
Sm 0.000 0.000 10.002
Rh 0.000 0.000 4.988
Rh 0.000 0.000 15.015
```

## Properties
E	-6.5753	eV per atom
DOS at the Fermi energy	0.09	states/eV/atom
offset from the most stable computed form	191	meV per atom
V	95	Å³/f.u.
spin magnetization	0.00	μB per cell
calculated formation energy	-0.532	eV per atom

This record from Alexandria via LeMat-Bulk describes a geometry-optimized Li2Pm2ErPb2 structure. The functional is PBE.

The structure in extended XYZ format:
```
7
Lattice="2.419 1.397 9.167 -2.419 1.397 9.167 0.000 -2.793 9.167" Properties=species:S:1:pos:R:3 pbc="T T T"
Li 0.000 0.000 2.881
Li 0.000 0.000 24.621
Pm 0.000 0.000 10.241
Pm 0.000 0.000 17.261
Er 0.000 0.000 13.751
Pb 0.000 0.000 6.391
Pb 0.000 0.000 21.111
```

## Properties
E	-3.9342	eV per atom
DOS at the Fermi energy	0.66	states/eV/atom
V	186	Å³/f.u.
spin magnetization	0.00	μB per cell
calculated formation energy	-0.319	eV per atom

This record from Alexandria via LeMat-Bulk describes a geometry-optimized LiHoHfSe4 structure. The functional is PBE.

The structure in extended XYZ format:
```
14
Lattice="-3.929 4.098 5.705 3.929 -4.098 5.705 3.929 4.098 -5.705" Properties=species:S:1:pos:R:3 pbc="T T T"
Li 0.000 2.049 1.422
Li 3.929 2.049 4.283
Ho 3.929 0.000 0.000
Ho 0.000 0.000 5.705
Hf 1.964 2.049 -2.852
Hf 1.964 -2.049 2.852
Se 3.929 3.921 -2.861
Se 3.929 -0.178 2.861
Se 1.976 2.049 -0.177
Se 5.882 2.049 -0.177
Se -1.953 2.049 5.882
Se 1.953 2.049 5.882
Se 0.000 4.276 2.843
Se 0.000 0.178 8.566
```

## Properties
E	-5.8725	eV per atom
formation energy from raw total energies	-10.7	eV/f.u.
V	184	Å³/f.u.
spin magnetization	0.00	μB per cell

This record from Alexandria via LeMat-Bulk describes a geometry-optimized Tl2SnTe5 structure. The functional is PBE.

The structure in extended XYZ format:
```
16
Lattice="-4.265 4.265 7.666 4.265 -4.265 7.666 4.265 4.265 -7.666" Properties=species:S:1:pos:R:3 pbc="T T T"
Tl 0.000 0.000 0.000
Tl 0.000 0.000 3.833
Tl 0.000 0.000 7.666
Tl 0.000 0.000 11.499
Sn 4.265 0.000 3.833
Sn 0.000 4.265 3.833
Te 4.265 0.000 0.000
Te 5.832 1.568 -2.067
Te 1.568 2.697 -2.067
Te 5.832 1.568 2.067
Te 1.568 2.697 2.067
Te 0.000 4.265 0.000
Te 2.697 1.568 5.599
Te -1.568 2.697 5.599
Te 2.697 1.568 9.733
Te -1.568 2.697 9.733
```

## Properties
E	-3.2436	eV per atom
formation energy from raw total energies	-1.5	eV/f.u.
DOS at the Fermi energy	0.06	states/eV/atom
offset from the most stable computed form	0	meV per atom
V	279	Å³/f.u.
spin magnetization	0.00	μB per cell